Version one
{"formula": "CaCdHg4", "functional": "GGA-PBE", "state": "optimized geometry", "lattice": [[-4.906, -1.675, -1.281], [2.443, -7.807, 0.853], [-3.698, 6.059, 6.239]], "species": ["Ca", "Ca", "Cd", "Cd", "Hg", "Hg", "Hg", "Hg", "Hg", "Hg", "Hg", "Hg"], "frac_coords": [[0.000, 0.500, 0.500], [0.000, 0.000, 0.000], [0.497, 0.250, 0.750], [0.503, 0.750, 0.250], [0.499, 0.792, 0.614], [0.499, 0.708, 0.886], [0.002, 0.994, 0.334], [0.002, 0.506, 0.166], [0.998, 0.006, 0.666], [0.998, 0.494, 0.834], [0.501, 0.292, 0.114], [0.501, 0.208, 0.386]]}

Version two
{"formula": "CaCdHg4", "functional": "GGA-PBE", "state": "optimized geometry", "lattice": [[4.961, -3.460, -0.622], [1.524, -3.943, 4.370], [-0.564, -5.977, -0.967]], "species": ["Ca", "Cd", "Hg", "Hg", "Hg", "Hg"], "frac_coords": [[0.750, 0.750, 0.750], [0.000, 0.000, 0.000], [0.875, 0.375, 0.375], [0.375, 0.375, 0.875], [0.375, 0.875, 0.375], [0.375, 0.375, 0.375]]}

What are the relative energies? In eV/atom: version one 0.000; version two 0.089.

Version one
{"formula": "Ca8CdHg2", "functional": "GGA-PBE", "state": "optimized geometry", "lattice": [[-1.076, 3.388, 3.879], [-8.506, 0.969, -3.206], [2.496, -7.899, 4.023]], "species": ["Ca", "Ca", "Ca", "Ca", "Ca", "Ca", "Ca", "Ca", "Cd", "Hg", "Hg"], "frac_coords": [[0.663, 0.878, 0.325], [0.337, 0.552, 0.675], [0.135, 0.135, 0.271], [0.000, 0.318, 0.000], [0.865, 0.865, 0.729], [0.663, 0.448, 0.325], [0.337, 0.122, 0.675], [0.000, 0.682, 0.000], [0.500, 0.000, 0.000], [0.195, 0.695, 0.390], [0.805, 0.305, 0.610]]}

Version two
{"formula": "Ca8CdHg2", "functional": "GGA-PBE", "state": "optimized geometry", "lattice": [[-2.710, -2.024, 4.880], [-6.199, -1.451, -5.691], [6.342, -5.698, -0.488]], "species": ["Ca", "Ca", "Ca", "Ca", "Ca", "Ca", "Ca", "Ca", "Cd", "Hg", "Hg"], "frac_coords": [[0.910, 0.929, 0.677], [0.910, 0.677, 0.929], [0.312, 0.627, 0.627], [0.500, 0.767, 0.233], [0.500, 0.233, 0.767], [0.688, 0.373, 0.373], [0.090, 0.323, 0.071], [0.090, 0.071, 0.323], [0.500, 0.000, 0.000], [0.000, 0.316, 0.684], [0.000, 0.684, 0.316]]}

What are the relative energies? In eV/atom: version one 0.010; version two 0.000.

Version one
{"formula": "Ca2Cd3Hg6", "functional": "GGA-PBE", "state": "optimized geometry", "lattice": [[-1.104, 2.755, 2.089], [-7.908, -4.629, 1.925], [0.505, -5.521, 7.545]], "species": ["Ca", "Ca", "Cd", "Cd", "Cd", "Hg", "Hg", "Hg", "Hg", "Hg", "Hg"], "frac_coords": [[0.000, 0.295, 0.705], [0.000, 0.705, 0.295], [0.000, 0.240, 0.240], [0.000, 0.760, 0.760], [0.500, 0.000, 0.000], [0.500, 0.391, 0.391], [0.500, 0.609, 0.609], [0.500, 0.956, 0.354], [0.500, 0.044, 0.646], [0.500, 0.354, 0.956], [0.500, 0.646, 0.044]]}

Version two
{"formula": "Ca2Cd3Hg6", "functional": "GGA-PBE", "state": "optimized geometry", "lattice": [[-0.971, -2.612, -3.432], [3.380, -2.645, 1.057], [-10.453, -5.630, 10.089]], "species": ["Ca", "Ca", "Cd", "Cd", "Cd", "Hg", "Hg", "Hg", "Hg", "Hg", "Hg"], "frac_coords": [[0.331, 0.331, 0.662], [0.669, 0.669, 0.338], [0.000, 0.000, 0.000], [0.866, 0.866, 0.732], [0.134, 0.134, 0.268], [0.067, 0.567, 0.134], [0.567, 0.067, 0.134], [0.933, 0.433, 0.866], [0.433, 0.933, 0.866], [0.771, 0.771, 0.542], [0.229, 0.229, 0.458]]}

What are the relative energies? In eV/atom: version one 0.000; version two 0.061.

Version one
{"formula": "CaCd3Hg3", "functional": "GGA-PBE", "state": "optimized geometry", "lattice": [[-0.249, -5.171, -1.207], [0.541, -1.986, 8.399], [-7.736, 1.227, -3.664]], "species": ["Ca", "Ca", "Cd", "Cd", "Cd", "Cd", "Cd", "Cd", "Hg", "Hg", "Hg", "Hg", "Hg", "Hg"], "frac_coords": [[0.250, 0.667, 0.333], [0.750, 0.333, 0.667], [0.250, 0.803, 0.772], [0.250, 0.228, 0.032], [0.250, 0.968, 0.197], [0.750, 0.197, 0.228], [0.750, 0.772, 0.968], [0.750, 0.032, 0.803], [0.750, 0.624, 0.532], [0.750, 0.468, 0.093], [0.750, 0.907, 0.376], [0.250, 0.376, 0.468], [0.250, 0.532, 0.907], [0.250, 0.093, 0.624]]}

Version two
{"formula": "CaCd3Hg3", "functional": "GGA-PBE", "state": "optimized geometry", "lattice": [[-1.983, 7.523, 1.349], [-0.472, -1.512, 7.736], [7.629, 1.862, 0.830]], "species": ["Ca", "Ca", "Hg", "Hg", "Hg", "Hg", "Hg", "Hg", "Cd", "Cd", "Cd", "Cd", "Cd", "Cd"], "frac_coords": [[0.500, 0.500, 0.500], [0.000, 0.000, 0.000], [0.000, 0.250, 0.500], [0.000, 0.750, 0.500], [0.500, 0.000, 0.750], [0.750, 0.500, 0.000], [0.500, 0.000, 0.250], [0.250, 0.500, 0.000], [0.250, 0.000, 0.500], [0.000, 0.500, 0.250], [0.500, 0.750, 0.000], [0.750, 0.000, 0.500], [0.000, 0.500, 0.750], [0.500, 0.250, 0.000]]}

What are the relative energies? In eV/atom: version one 0.000; version two 0.368.

Version one
{"formula": "CaCd6Hg4", "functional": "GGA-PBE", "state": "optimized geometry", "lattice": [[-4.530, -4.830, -4.163], [2.609, -1.257, 7.266], [-2.301, 6.627, 3.460]], "species": ["Ca", "Cd", "Cd", "Cd", "Cd", "Cd", "Cd", "Hg", "Hg", "Hg", "Hg"], "frac_coords": [[0.000, 0.000, 0.000], [0.000, 0.767, 0.447], [0.000, 0.447, 0.767], [0.680, 0.233, 0.233], [0.500, 0.000, 0.500], [0.320, 0.553, 0.553], [0.500, 0.500, 0.000], [0.000, 0.080, 0.587], [0.493, 0.413, 0.413], [0.000, 0.587, 0.080], [0.507, 0.920, 0.920]]}

Version two
{"formula": "CaCd6Hg4", "functional": "GGA-PBE", "state": "optimized geometry", "lattice": [[3.903, 0.000, 0.000], [0.000, 7.830, -4.521], [0.000, 0.000, 9.041]], "species": ["Ca", "Cd", "Cd", "Cd", "Cd", "Cd", "Cd", "Hg", "Hg", "Hg", "Hg"], "frac_coords": [[0.000, 0.000, 0.000], [0.000, 0.537, 0.074], [0.500, 0.615, 0.808], [0.000, 0.537, 0.463], [0.000, 0.926, 0.463], [0.500, 0.192, 0.808], [0.500, 0.192, 0.385], [0.500, 0.825, 0.650], [0.500, 0.350, 0.175], [0.500, 0.825, 0.175], [0.000, 0.333, 0.667]]}

What are the relative energies? In eV/atom: version one 0.056; version two 0.000.

Version one
{"formula": "Ca2Cd6Hg", "functional": "GGA-PBE", "state": "optimized geometry", "lattice": [[6.726, -0.032, -0.019], [0.028, 6.272, 0.006], [0.028, 3.130, 5.435]], "species": ["Ca", "Ca", "Cd", "Cd", "Cd", "Cd", "Cd", "Cd", "Hg"], "frac_coords": [[0.869, 0.666, 0.666], [0.131, 0.334, 0.334], [0.334, 0.351, 0.826], [0.330, 0.824, 0.824], [0.334, 0.826, 0.351], [0.666, 0.649, 0.174], [0.670, 0.176, 0.176], [0.666, 0.174, 0.649], [0.000, 0.000, 0.000]]}

Version two
{"formula": "Ca2Cd6Hg", "functional": "GGA-PBE", "state": "optimized geometry", "lattice": [[-5.583, -0.051, 2.512], [-2.192, -0.471, -5.693], [0.691, -6.050, 0.601]], "species": ["Ca", "Ca", "Cd", "Cd", "Cd", "Cd", "Cd", "Cd", "Hg"], "frac_coords": [[0.678, 0.678, 0.678], [0.322, 0.322, 0.322], [0.168, 0.500, 0.833], [0.832, 0.167, 0.500], [0.832, 0.500, 0.167], [0.500, 0.167, 0.833], [0.168, 0.833, 0.500], [0.500, 0.833, 0.167], [0.000, 0.000, 0.000]]}

What are the relative energies? In eV/atom: version one 0.000; version two 0.034.

Version one
{"formula": "CaCd4Hg6", "functional": "GGA-PBE", "state": "optimized geometry", "lattice": [[-2.208, 6.068, -3.945], [-4.354, -2.400, 5.705], [6.074, 0.594, 4.473]], "species": ["Ca", "Cd", "Cd", "Cd", "Cd", "Hg", "Hg", "Hg", "Hg", "Hg", "Hg"], "frac_coords": [[0.000, 0.000, 0.000], [0.000, 0.255, 0.624], [0.632, 0.376, 0.376], [0.000, 0.624, 0.255], [0.368, 0.745, 0.745], [0.000, 0.878, 0.581], [0.000, 0.581, 0.878], [0.703, 0.122, 0.122], [0.500, 0.000, 0.500], [0.297, 0.419, 0.419], [0.500, 0.500, 0.000]]}

Version two
{"formula": "CaCd4Hg6", "functional": "GGA-PBE", "state": "optimized geometry", "lattice": [[-3.697, 1.646, 1.194], [-2.623, -7.953, 2.840], [4.221, 5.489, 5.501]], "species": ["Ca", "Cd", "Cd", "Cd", "Cd", "Hg", "Hg", "Hg", "Hg", "Hg", "Hg"], "frac_coords": [[0.000, 0.333, 0.667], [0.500, 0.560, 0.473], [0.500, 0.913, 0.440], [0.000, 0.000, 0.000], [0.500, 0.527, 0.087], [0.500, 0.154, 0.830], [0.500, 0.170, 0.324], [0.000, 0.831, 0.625], [0.000, 0.375, 0.206], [0.000, 0.794, 0.169], [0.500, 0.676, 0.846]]}

What are the relative energies? In eV/atom: version one 0.049; version two 0.000.

Version one
{"formula": "Ca2TlCdHg", "functional": "GGA-PBE", "state": "optimized geometry", "lattice": [[-4.263, -0.997, -3.892], [0.721, -5.206, 0.544], [-3.938, -0.092, 4.337]], "species": ["Tl", "Ca", "Ca", "Hg", "Cd"], "frac_coords": [[0.500, 0.500, 0.500], [0.000, 0.000, 0.500], [0.500, 0.000, 0.000], [0.000, 0.000, 0.000], [0.000, 0.500, 0.000]]}

Version two
{"formula": "Ca2TlCdHg", "functional": "GGA-PBE", "state": "optimized geometry", "lattice": [[-2.253, 1.534, 4.126], [-2.679, -7.548, 1.343], [6.589, 0.868, 3.275]], "species": ["Ca", "Ca", "Ca", "Ca", "Tl", "Tl", "Cd", "Cd", "Hg", "Hg"], "frac_coords": [[0.750, 0.875, 0.629], [0.750, 0.690, 0.033], [0.250, 0.125, 0.371], [0.250, 0.310, 0.967], [0.250, 0.701, 0.333], [0.750, 0.299, 0.667], [0.250, 0.539, 0.664], [0.750, 0.461, 0.336], [0.250, 0.893, 0.925], [0.750, 0.107, 0.075]]}

What are the relative energies? In eV/atom: version one 0.343; version two 0.000.